PBE CsGaTeS4, relaxed; total magnetic moment = 0.000 μB/f.u.; uncorrected energy = -3.87 eV/atom; symmetry = P2_1/m (11)
1.0
-0.6948 5.6639 -4.0319
1.3465 -3.8390 -5.6249
-8.6045 -4.4030 0.9453
Ga S Te Cs
2 8 2 2
Cartesian
-2.0612 -2.8677 -4.9617
-5.8916 0.2896 -3.7498
-3.6480 0.1779 -3.1365
-5.9433 0.5056 -6.0766
-4.3048 -2.7560 -5.5750
-6.9306 -1.4109 -2.8379
-5.2780 -1.3914 -8.8560
-1.0222 -1.1672 -5.8736
-2.6748 -1.1867 0.1445
-2.0095 -3.0837 -2.6349
-4.0019 -1.8251 -1.8542
-3.9509 -0.7530 -6.8573
-0.2898 0.4248 -2.5012
-7.6630 -3.0029 -6.2104